Compound: Zn2Sn2Pd5Au
Source: the Alexandria database
Functional: PBE
Structure: optimized geometry

Unit cell a=9.9208 b=9.9208 c=3.5610 alpha=90.00 beta=90.00 gamma=90.00
Element x y z (fractional)
1 Zn 0.1334 0.3666 0.0000
2 Zn 0.3666 0.8666 0.0000
3 Zn 0.6334 0.1334 0.0000
4 Zn 0.8666 0.6334 0.0000
5 Sn 0.1627 0.6627 0.0000
6 Sn 0.3373 0.1627 0.0000
7 Sn 0.6627 0.8373 0.0000
8 Sn 0.8373 0.3373 0.0000
9 Pd 0.0000 0.5000 0.5000
10 Pd 0.1211 0.1758 0.5000
11 Pd 0.1758 0.8789 0.5000
12 Pd 0.3242 0.3789 0.5000
13 Pd 0.3789 0.6758 0.5000
14 Pd 0.5000 0.0000 0.5000
15 Pd 0.6211 0.3242 0.5000
16 Pd 0.6758 0.6211 0.5000
17 Pd 0.8242 0.1211 0.5000
18 Pd 0.8789 0.8242 0.5000
19 Au 0.0000 0.0000 0.0000
20 Au 0.5000 0.5000 0.0000

Calculated values
* space-group type: P4/mbm
* DOS(E_F): 7.67 states/eV per cell
* total magnetic moment: 0.000 μB/atom
* energy of formation from the pure elements: -0.29 eV per atom